[1]
A relaxed Er5NiTe3 crystal, computed with PBE.

```
Er5NiTe3
1.0
8.201 0.000 0.000
-4.100 7.102 0.000
0.000 0.000 4.010
Er Ni Te
5 1 3
direct
0.671 0.000 0.000
0.329 0.329 0.000
0.000 0.671 0.000
0.667 0.333 0.500
0.333 0.667 0.500
0.000 0.000 0.000
0.265 0.000 0.500
0.000 0.265 0.500
0.735 0.735 0.500
```


[2]
A relaxed ErNiTe2 crystal, computed with PBE.

```
ErNiTe2
1.0
4.089 0.000 0.000
-2.045 3.541 0.000
0.000 0.000 6.546
Er Ni Te
1 1 2
direct
0.000 0.000 0.500
0.000 0.000 0.000
0.333 0.667 0.210
0.667 0.333 0.790
```


[3]
A relaxed ErNi4Te3 crystal, computed with PBE.

```
ErNi4Te3
1.0
5.179 0.000 0.000
0.000 4.006 0.000
-0.403 0.000 6.826
Er Ni Te
1 4 3
direct
0.363 0.000 0.307
0.361 0.500 0.002
0.861 0.000 0.467
0.143 0.500 0.582
0.642 0.000 0.943
0.874 0.500 0.211
0.624 0.500 0.652
0.130 0.000 0.835
```


[4]
A relaxed Er2NiTe6 crystal, computed with PBE.

```
Er2NiTe6
1.0
8.325 0.000 0.000
-4.163 7.210 0.000
0.000 0.000 3.902
Er Ni Te
2 1 6
direct
0.667 0.333 0.500
0.333 0.667 0.500
0.000 0.000 0.000
0.548 0.000 0.000
0.452 0.452 0.000
0.000 0.548 0.000
0.222 0.000 0.500
0.000 0.222 0.500
0.778 0.778 0.500
```


| no. | DFT total energy (eV per atom) |
| --- | --- |
| 1 | -4.72 |
| 2 | -4.85 |
| 3 | -4.83 |
| 4 | -4.42 |